[1]
# LiSi2P

A relaxed structure of LiSi2P (PBE, the Alexandria database).

It has space group P2/m (No. 10), with a = 4.353 Å, b = 2.742 Å, c = 5.144 Å, α = 90.00°, β = 109.51° and γ = 90.00°. The distinct sites, in fractional coordinates, are Li at (0.000, 0.000, 0.000), Si at (0.000, 0.500, 0.500), Si at (0.500, 0.000, 0.500) and P at (0.500, 0.500, 0.000).

[2]
# Li2MnCd

A relaxed structure of Li2MnCd (PBE, the Alexandria database).

It has space group Pmm2 (No. 25), with a = 2.811 Å, b = 4.349 Å, c = 5.721 Å, α = 90.00°, β = 90.00° and γ = 90.00°. The distinct sites, in fractional coordinates, are Li at (0.000, 0.000, 0.000), Li at (0.500, 0.500, 0.254), Mn at (0.000, 0.000, 0.506) and Cd at (0.500, 0.500, 0.743).

Its formation energy from the elements is 0.53 eV/f.u.

[3]
# ZrScSi2

A relaxed structure of ZrScSi2 (PBE, the Alexandria database).

It has space group Cmm2 (No. 35), with a = 4.565 Å, b = 4.573 Å, c = 7.114 Å, α = 90.00°, β = 90.00° and γ = 90.00°. The distinct sites, in fractional coordinates, are Zr at (0.000, 0.000, 0.000), Sc at (0.000, 0.500, 0.358), Si at (0.000, 0.000, 0.604) and Si at (0.000, 0.500, 0.760).

For the distance to the lowest polymorph of the same formula, the calculation gives 2.40 eV per formula unit.

[4]
# ThMg2Tl

A relaxed structure of ThMg2Tl (PBE, the Alexandria database).

It has space group P4/mmm (No. 123), with a = 4.689 Å, b = 4.689 Å, c = 4.834 Å, α = 90.00°, β = 90.00° and γ = 90.00°. The distinct sites, in fractional coordinates, are Th at (0.000, 0.000, 0.000), Mg at (0.000, 0.500, 0.500) and Tl at (0.500, 0.500, 0.000).

Its formation energy from the elements is -0.30 eV/f.u. For the distance to the lowest polymorph of the same formula, the calculation gives 0.00 eV per formula unit.

[5]
# Tb5RhAu4

A relaxed structure of Tb5RhAu4 (PBE, the Alexandria database).

It has space group P4/mmm (No. 123), with a = 3.570 Å, b = 3.570 Å, c = 18.006 Å, α = 90.00°, β = 90.00° and γ = 90.00°. The distinct sites, in fractional coordinates, are Tb at (0.000, 0.000, 0.000), Tb at (0.000, 0.000, 0.205), Tb at (0.000, 0.000, 0.408), Rh at (0.500, 0.500, 0.500), Au at (0.500, 0.500, 0.101) and Au at (0.500, 0.500, 0.306).

Its formation energy from the elements is -8.46 eV/f.u.

[6]
# BaSc2Rh

A relaxed structure of BaSc2Rh (PBE, the Alexandria database).

It has space group Immm (No. 71), with a = 3.518 Å, b = 5.868 Å, c = 10.633 Å, α = 90.00°, β = 90.00° and γ = 90.00°. The distinct sites, in fractional coordinates, are Ba at (0.000, 0.000, 0.000), Sc at (0.000, 0.500, 0.184) and Rh at (0.000, 0.000, 0.500).

Its formation energy from the elements is -0.57 eV/f.u.

[7]
# CeEu2Gd

A relaxed structure of CeEu2Gd (PBE, the Alexandria database).

It has space group Fm-3m (No. 225), with a = 8.342 Å, b = 8.342 Å, c = 8.342 Å, α = 90.00°, β = 90.00° and γ = 90.00°. The distinct sites, in fractional coordinates, are Ce at (0.000, 0.000, 0.000), Eu at (0.250, 0.250, 0.250) and Gd at (0.000, 0.000, 0.500).

Its formation energy from the elements is 0.90 eV/f.u.

[8]
# Pt2C

A relaxed structure of Pt2C (PBE, the Alexandria database).

It has space group C2/m (No. 12), with a = 13.379 Å, b = 2.954 Å, c = 5.115 Å, α = 90.00°, β = 110.57° and γ = 90.00°. The distinct sites, in fractional coordinates, are Pt at (0.084, 0.000, 0.242), Pt at (0.162, 0.000, 0.807) and C at (0.126, 0.500, 0.526).

Its formation energy from the elements is 2.25 eV/f.u. For the distance to the lowest polymorph of the same formula, the calculation gives 0.58 eV per formula unit.

[9]
# HfTeI3

A relaxed structure of HfTeI3 (PBE, the Alexandria database).

It has space group Pm-3m (No. 221), with a = 5.682 Å, b = 5.682 Å, c = 5.682 Å, α = 90.00°, β = 90.00° and γ = 90.00°. The distinct sites, in fractional coordinates, are Hf at (0.000, 0.000, 0.000), Te at (0.500, 0.500, 0.500) and I at (0.000, 0.000, 0.500).

[10]
# CsTlSnTe2

A relaxed structure of CsTlSnTe2 (PBE, the Alexandria database).

It has space group C2/m (No. 12), with a = 17.362 Å, b = 5.958 Å, c = 10.100 Å, α = 90.00°, β = 90.89° and γ = 90.00°. The distinct sites, in fractional coordinates, are Cs at (0.123, 0.000, 0.353), Tl at (0.189, 0.000, 0.987), Sn at (0.059, 0.500, 0.822), Te at (0.097, 0.000, 0.725) and Te at (0.110, 0.500, 0.108).

[11]
# Sc2TcN

A relaxed structure of Sc2TcN (PBE, the Alexandria database).

It has space group R-3m (No. 166, hexagonal axes), with a = 3.3390 Å, b = 3.3390 Å, c = 23.4448 Å, α = 90.00°, β = 90.00° and γ = 120.00°. The distinct sites, in fractional coordinates, are Sc at (0.0000, 0.0000, 0.0827), Tc at (0.0000, 0.0000, 0.5000) and N at (0.0000, 0.0000, 0.0000).

[12]
# KCr2Te

A relaxed structure of KCr2Te (PBE, the Alexandria database).

It has space group I4_1/amd (No. 141, origin choice 2), with a = 5.670 Å, b = 5.670 Å, c = 18.431 Å, α = 90.00°, β = 90.00° and γ = 90.00°. The distinct sites, in fractional coordinates, are K at (0.000, 0.250, 0.375), Cr at (0.000, 0.000, 0.000) and Te at (0.000, 0.250, 0.875).

[13]
# Pm2Pr2Tm15

A relaxed structure of Pm2Pr2Tm15 (PBE, the Alexandria database).

It has space group R-3m (No. 166, hexagonal axes), with a = 11.2269 Å, b = 11.2269 Å, c = 17.2126 Å, α = 90.00°, β = 90.00° and γ = 120.00°. The distinct sites, in fractional coordinates, are Pm at (0.0000, 0.0000, 0.1619), Pr at (0.0000, 0.0000, 0.3794), Tm at (0.0000, 0.3060, 0.5000), Tm at (0.0000, 0.5000, 0.0000) and Tm at (0.0111, 0.5055, 0.6433).

Its formation energy from the elements is 5.29 eV/f.u.

[14]
# Ga2SnHg2

A relaxed structure of Ga2SnHg2 (PBE, the Alexandria database).

It has space group P4/mbm (No. 127), with a = 7.779 Å, b = 7.779 Å, c = 3.950 Å, α = 90.00°, β = 90.00° and γ = 90.00°. The distinct sites, in fractional coordinates, are Ga at (0.128, 0.372, 0.000), Sn at (0.000, 0.000, 0.000) and Hg at (0.174, 0.674, 0.500).

Its formation energy from the elements is 0.47 eV/f.u. For the distance to the lowest polymorph of the same formula, the calculation gives 0.27 eV per formula unit.

[15]
# Sr2Mg16Zn

A relaxed structure of Sr2Mg16Zn (PBE, the Alexandria database).

It has space group R3m (No. 160, hexagonal axes), with a = 10.4512 Å, b = 10.4512 Å, c = 15.2955 Å, α = 90.00°, β = 90.00° and γ = 120.00°. The distinct sites, in fractional coordinates, are Sr at (0.0000, 0.0000, 0.0000), Sr at (0.0000, 0.0000, 0.3313), Mg at (0.0000, 0.0000, 0.7510), Mg at (0.9998, 0.2969, 0.6652), Mg at (0.9996, 0.4998, 0.5121), Mg at (0.0009, 0.5004, 0.8189), Mg at (0.0063, 0.5031, 0.1651) and Zn at (0.0000, 0.0000, 0.5574).

Its formation energy from the elements is -0.91 eV/f.u.

[16]
# Cd2WSe

A relaxed structure of Cd2WSe (PBE, the Alexandria database).

It has space group R-3m (No. 166, hexagonal axes), with a = 3.0893 Å, b = 3.0893 Å, c = 28.6183 Å, α = 90.00°, β = 90.00° and γ = 120.00°. The distinct sites, in fractional coordinates, are Cd at (0.0000, 0.0000, 0.2478), W at (0.0000, 0.0000, 0.5000) and Se at (0.0000, 0.0000, 0.0000).

[17]
# Zn4CdCu15

A relaxed structure of Zn4CdCu15 (PBE, the Alexandria database).

It has space group P4/mmm (No. 123), with a = 3.664 Å, b = 3.664 Å, c = 19.066 Å, α = 90.00°, β = 90.00° and γ = 90.00°. The distinct sites, in fractional coordinates, are Zn at (0.000, 0.000, 0.098), Zn at (0.000, 0.000, 0.294), Cd at (0.000, 0.000, 0.500), Cu at (0.000, 0.500, 0.000), Cu at (0.000, 0.500, 0.196), Cu at (0.000, 0.500, 0.392), Cu at (0.500, 0.500, 0.098), Cu at (0.500, 0.500, 0.294) and Cu at (0.500, 0.500, 0.500).

Its formation energy from the elements is -0.71 eV/f.u.

[18]
# Tm5ScZn4

A relaxed structure of Tm5ScZn4 (PBE, the Alexandria database).

It has space group P4/mmm (No. 123), with a = 3.496 Å, b = 3.496 Å, c = 18.826 Å, α = 90.00°, β = 90.00° and γ = 90.00°. The distinct sites, in fractional coordinates, are Tm at (0.000, 0.000, 0.000), Tm at (0.000, 0.000, 0.188), Tm at (0.000, 0.000, 0.377), Sc at (0.500, 0.500, 0.500), Zn at (0.500, 0.500, 0.095) and Zn at (0.500, 0.500, 0.283).

Its formation energy from the elements is -2.72 eV/f.u.

[19]
# UCdSn2

A relaxed structure of UCdSn2 (PBE, the Alexandria database).

It has space group R-3m (No. 166, hexagonal axes), with a = 4.8184 Å, b = 4.8184 Å, c = 24.7552 Å, α = 90.00°, β = 90.00° and γ = 120.00°. The distinct sites, in fractional coordinates, are U at (0.0000, 0.0000, 0.0000), Cd at (0.0000, 0.0000, 0.5000) and Sn at (0.0000, 0.0000, 0.3873).

Its formation energy from the elements is 2.73 eV/f.u. For the distance to the lowest polymorph of the same formula, the calculation gives 3.08 eV per formula unit.

[20]
# TmFeIr

A relaxed structure of TmFeIr (PBE, the Alexandria database).

It has space group Imma (No. 74), with a = 4.989 Å, b = 5.525 Å, c = 7.311 Å, α = 90.00°, β = 90.00° and γ = 90.00°. The distinct sites, in fractional coordinates, are Tm at (0.000, 0.250, 0.122), Fe at (0.250, 0.250, 0.750) and Ir at (0.000, 0.000, 0.500).

Its formation energy from the elements is -1.81 eV/f.u.

[21]
# SmLuCoOs

A relaxed structure of SmLuCoOs (PBE, the Alexandria database).

It has space group F-43m (No. 216), with a = 6.771 Å, b = 6.771 Å, c = 6.771 Å, α = 90.00°, β = 90.00° and γ = 90.00°. The distinct sites, in fractional coordinates, are Sm at (0.000, 0.000, 0.000), Lu at (0.000, 0.000, 0.500), Co at (0.250, 0.250, 0.750) and Os at (0.250, 0.250, 0.250).

Its formation energy from the elements is -0.35 eV/f.u.

[22]
# Ta3Sb5

A relaxed structure of Ta3Sb5 (PBE, the Alexandria database).

It has space group P6_3/mcm (No. 193), with a = 8.5811 Å, b = 8.5811 Å, c = 5.6943 Å, α = 90.00°, β = 90.00° and γ = 120.00°. The distinct sites, in fractional coordinates, are Ta at (0.0000, 0.3901, 0.2500), Sb at (0.0000, 0.2600, 0.7500) and Sb at (0.3333, 0.6667, 0.0000).

For the distance to the lowest polymorph of the same formula, the calculation gives 0.85 eV per formula unit.

[23]
# TePb3C

A relaxed structure of TePb3C (PBE, the Alexandria database).

It has space group Pm-3m (No. 221), with a = 5.170 Å, b = 5.170 Å, c = 5.170 Å, α = 90.00°, β = 90.00° and γ = 90.00°. The distinct sites, in fractional coordinates, are Te at (0.000, 0.000, 0.000), Pb at (0.000, 0.500, 0.500) and C at (0.500, 0.500, 0.500).

For the distance to the lowest polymorph of the same formula, the calculation gives 0.00 eV per formula unit.

[24]
# BeRe2Ni

A relaxed structure of BeRe2Ni (PBE, the Alexandria database).

It has space group R-3m (No. 166, hexagonal axes), with a = 2.6816 Å, b = 2.6816 Å, c = 24.7656 Å, α = 90.00°, β = 90.00° and γ = 120.00°. The distinct sites, in fractional coordinates, are Be at (0.0000, 0.0000, 0.0000), Re at (0.0000, 0.0000, 0.2517) and Ni at (0.0000, 0.0000, 0.5000).

Its formation energy from the elements is 0.76 eV/f.u.

[25]
# Be2TlZn

A relaxed structure of Be2TlZn (PBE, the Alexandria database).

It has space group I4_1/amd (No. 141, origin choice 2), with a = 4.214 Å, b = 4.214 Å, c = 15.919 Å, α = 90.00°, β = 90.00° and γ = 90.00°. The distinct sites, in fractional coordinates, are Be at (0.000, 0.000, 0.000), Tl at (0.000, 0.250, 0.375) and Zn at (0.000, 0.250, 0.875).

Its formation energy from the elements is 2.01 eV/f.u. For the distance to the lowest polymorph of the same formula, the calculation gives 0.85 eV per formula unit.

Total energy values, unit eV per atom, following the record order: -4.378 -3.347 -6.708 -3.318 -5.207 -5.626 -9.916 -6.352 -3.589 -3.170 -7.547 -5.289 -4.255 -2.038 -1.635 -4.014 -3.408 -3.650 -4.369 -7.868 -6.983 -6.713 -3.971 -8.412 -2.270.